## HfBe3As (meta-GGA SCAN)

Data for a PBEsol-optimized structure of HfBe3As.

Properties
- ΔH_f (0 K) (eV per atom) = 1.822
- M_tot (μB/atom) = 0.00
- DOS(E_F) (states/eV per cell) = 4.20
- calculated total energy (eV/cell) = -86.82

Cell and atoms, written as CIF:
```
data_HfBe3As
_cell_length_a 4.608
_cell_length_b 4.608
_cell_length_c 4.608
_cell_angle_alpha 90.00
_cell_angle_beta 90.00
_cell_angle_gamma 90.00
_symmetry_space_group_name_H-M 'P m -3 m'
_symmetry_Int_Tables_number 221
_symmetry_space_group_name_Hall '-P 4 2 3'
loop_
_atom_site_label
_atom_site_type_symbol
_atom_site_fract_x
_atom_site_fract_y
_atom_site_fract_z
Hf1 Hf 0.000 0.000 0.000
Be1 Be 0.000 0.000 0.500
As1 As 0.500 0.500 0.500
```

## BeHgAs2 (meta-GGA SCAN)

Data for a PBEsol-optimized structure of BeHgAs2.

Properties
- polymorph energy (0 for the lowest one) (eV per atom) = 0.188
- ΔH_f (0 K) (eV per atom) = 0.323
- M_tot (μB/atom) = 0.00
- DOS(E_F) (states/eV per cell) = 3.16
- calculated total energy (eV/cell) = -223.22

Cell and atoms, written as CIF:
```
data_BeHgAs2
_cell_length_a 2.900
_cell_length_b 4.355
_cell_length_c 11.067
_cell_angle_alpha 90.00
_cell_angle_beta 90.00
_cell_angle_gamma 90.00
_symmetry_space_group_name_H-M 'I m m m'
_symmetry_Int_Tables_number 71
_symmetry_space_group_name_Hall '-I 2 2'
loop_
_atom_site_label
_atom_site_type_symbol
_atom_site_fract_x
_atom_site_fract_y
_atom_site_fract_z
Be1 Be 0.000 0.000 0.000
Hg1 Hg 0.000 0.000 0.500
As1 As 0.000 0.500 0.319
```

## BeHgAs2 (meta-GGA SCAN)

Data for a PBEsol-optimized structure of BeHgAs2.

Properties
- polymorph energy (0 for the lowest one) (eV per atom) = 0.000
- ΔH_f (0 K) (eV per atom) = 0.135
- M_tot (μB/atom) = 0.00
- DOS(E_F) (states/eV per cell) = 2.07
- calculated total energy (eV/cell) = -224.72

Cell and atoms, written as CIF:
```
data_BeHgAs2
_cell_length_a 7.299
_cell_length_b 3.685
_cell_length_c 6.133
_cell_angle_alpha 90.00
_cell_angle_beta 109.05
_cell_angle_gamma 90.00
_symmetry_space_group_name_H-M 'C 1 2/m 1'
_symmetry_Int_Tables_number 12
loop_
_symmetry_equiv_pos_as_xyz
'x,y,z'
'-x,-y,-z'
'-x,y,-z'
'x,-y,z'
'x+1/2,y+1/2,z'
'-x+1/2,-y+1/2,-z'
'-x+1/2,y+1/2,-z'
'x+1/2,-y+1/2,z'
loop_
_atom_site_label
_atom_site_type_symbol
_atom_site_fract_x
_atom_site_fract_y
_atom_site_fract_z
Be1 Be 0.000 0.000 0.000
Hg1 Hg 0.000 0.500 0.500
As1 As 0.164 0.500 0.183
```

## BeHgAs2 (meta-GGA SCAN)

Data for a PBEsol-optimized structure of BeHgAs2.

Properties
- polymorph energy (0 for the lowest one) (eV per atom) = 0.120
- ΔH_f (0 K) (eV per atom) = 0.256
- M_tot (μB/atom) = 0.00
- DOS(E_F) (states/eV per cell) = 4.49
- calculated total energy (eV/cell) = -335.64

Cell and atoms, written as CIF:
```
data_BeHgAs2
_cell_length_a 2.9152
_cell_length_b 2.9152
_cell_length_c 29.9815
_cell_angle_alpha 90.00
_cell_angle_beta 90.00
_cell_angle_gamma 120.00
_symmetry_space_group_name_H-M 'R -3 m'
_symmetry_Int_Tables_number 166
_symmetry_space_group_name_Hall '-R 3 2"'
loop_
_atom_site_label
_atom_site_type_symbol
_atom_site_fract_x
_atom_site_fract_y
_atom_site_fract_z
Be1 Be 0.0000 0.0000 0.0000
Hg1 Hg 0.0000 0.0000 0.5000
As1 As 0.0000 0.0000 0.2730
```

## BeHgAs2 (meta-GGA SCAN)

Data for a PBEsol-optimized structure of BeHgAs2.

Properties
- polymorph energy (0 for the lowest one) (eV per atom) = 0.441
- ΔH_f (0 K) (eV per atom) = 0.576
- M_tot (μB/atom) = 0.00
- DOS(E_F) (states/eV per cell) = 2.96
- calculated total energy (eV/cell) = -221.19

Cell and atoms, written as CIF:
```
data_BeHgAs2
_cell_length_a 3.744
_cell_length_b 3.744
_cell_length_c 10.294
_cell_angle_alpha 90.00
_cell_angle_beta 90.00
_cell_angle_gamma 90.00
_symmetry_space_group_name_H-M 'I 4/m m m'
_symmetry_Int_Tables_number 139
_symmetry_space_group_name_Hall '-I 4 2'
loop_
_atom_site_label
_atom_site_type_symbol
_atom_site_fract_x
_atom_site_fract_y
_atom_site_fract_z
Be1 Be 0.000 0.000 0.000
Hg1 Hg 0.000 0.000 0.500
As1 As 0.000 0.500 0.250
```

## BeAsI2 (meta-GGA SCAN)

Data for a PBEsol-optimized structure of BeAsI2.

Properties
- E_form (uncorrected) (kJ per mole of atoms) = 96.7
- M_tot (μB/atom) = 0.00
- DOS(E_F) (states/eV per cell) = 8.43
- calculated total energy (eV/cell) = -376.08

Cell and atoms, written as CIF:
```
data_BeAsI2
_cell_length_a 7.137
_cell_length_b 7.137
_cell_length_c 7.137
_cell_angle_alpha 90.00
_cell_angle_beta 90.00
_cell_angle_gamma 90.00
_symmetry_space_group_name_H-M 'F m -3 m'
_symmetry_Int_Tables_number 225
_symmetry_space_group_name_Hall '-F 4 2 3'
loop_
_atom_site_label
_atom_site_type_symbol
_atom_site_fract_x
_atom_site_fract_y
_atom_site_fract_z
Be1 Be 0.000 0.000 0.000
As1 As 0.000 0.000 0.500
I1 I 0.250 0.250 0.250
```

## Be2AsI (meta-GGA SCAN)

Data for a PBEsol-optimized structure of Be2AsI.

Properties
- E_form (uncorrected) (kJ per mole of atoms) = -24.1
- M_tot (μB/atom) = 0.00
- DOS(E_F) (states/eV per cell) = 0.00
- calculated total energy (eV/cell) = -266.55

Cell and atoms, written as CIF:
```
data_Be2AsI
_cell_length_a 5.463
_cell_length_b 5.463
_cell_length_c 10.904
_cell_angle_alpha 90.00
_cell_angle_beta 90.00
_cell_angle_gamma 90.00
_symmetry_space_group_name_H-M 'I -4 2 d'
_symmetry_Int_Tables_number 122
_symmetry_space_group_name_Hall 'I -4 2bw'
loop_
_atom_site_label
_atom_site_type_symbol
_atom_site_fract_x
_atom_site_fract_y
_atom_site_fract_z
Be1 Be 0.189 0.250 0.125
As1 As 0.000 0.000 0.000
I1 I 0.000 0.000 0.500
```

## Be2InAs2 (meta-GGA SCAN)

Data for a PBEsol-optimized structure of Be2InAs2.

Properties
- ΔH_f (0 K) (eV per atom) = -0.039
- M_tot (μB/atom) = 0.00
- DOS(E_F) (states/eV per cell) = 2.10
- calculated total energy (eV/cell) = -165.34

Cell and atoms, written as CIF:
```
data_Be2InAs2
_cell_length_a 3.567
_cell_length_b 3.567
_cell_length_c 13.686
_cell_angle_alpha 90.00
_cell_angle_beta 90.00
_cell_angle_gamma 90.00
_symmetry_space_group_name_H-M 'I 4/m m m'
_symmetry_Int_Tables_number 139
_symmetry_space_group_name_Hall '-I 4 2'
loop_
_atom_site_label
_atom_site_type_symbol
_atom_site_fract_x
_atom_site_fract_y
_atom_site_fract_z
Be1 Be 0.000 0.500 0.250
In1 In 0.000 0.000 0.000
As1 As 0.000 0.000 0.356
```